Entry 1:
First-principles (PBE-GGA) data for AcRu3O12 after structural relaxation, as listed in Alexandria.

The structure belongs to space group P6_3/m (No. 176); the cell edges are 10.4895, 10.4895 and 6.5539 Å and the angles 90.00°, 90.00° and 120.00°. The inequivalent atoms are Ac at (0.3333, 0.6667, 0.2500), Ru at (0.0918, 0.7051, 0.7500), O at (0.0216, 0.8217, 0.7500), O at (0.0512, 0.4798, 0.2500) and O at (0.2003, 0.7332, 0.5309).

The uncorrected formation energy comes out at -18.4 eV per formula unit. Its magnetic moment is 0.195 μB per atom. As for the electronic total energy: -219.58 eV/cell.


Entry 2:
First-principles (PBE-GGA) data for ReAgCl2 after structural relaxation, as listed in Alexandria.

The structure belongs to space group Fm-3m (No. 225); the cell edges are 6.463, 6.463 and 6.463 Å and the angles 90.00°, 90.00° and 90.00°. The inequivalent atoms are Re at (0.000, 0.000, 0.000), Ag at (0.000, 0.000, 0.500) and Cl at (0.250, 0.250, 0.250).

The uncorrected formation energy comes out at 4.4 eV per formula unit. Its magnetic moment is 0.000 μB per atom. As for the electronic total energy: -58.21 eV/cell.


Entry 3:
First-principles (PBE-GGA) data for CsY3Mo after structural relaxation, as listed in Alexandria.

The structure belongs to space group Pm-3m (No. 221); the cell edges are 5.646, 5.646 and 5.646 Å and the angles 90.00°, 90.00° and 90.00°. The inequivalent atoms are Cs at (0.000, 0.000, 0.000), Y at (0.000, 0.500, 0.500) and Mo at (0.500, 0.500, 0.500).

Its magnetic moment is 0.225 μB per atom. The value obtained for the formation energy is 0.591 eV per atom. As for the electronic total energy: -28.12 eV/cell.


Entry 4:
First-principles (PBE-GGA) data for La2AlNi12B3 after structural relaxation, as listed in Alexandria.

The structure belongs to space group R-3m (No. 166, hexagonal axes); the cell edges are 7.3701, 7.3701 and 15.5239 Å and the angles 90.00°, 90.00° and 120.00°. The inequivalent atoms are La at (0.0000, 0.0000, 0.1051), Al at (0.0000, 0.0000, 0.5000), Ni at (0.0153, 0.5076, 0.8777), Ni at (0.0751, 0.5376, 0.3149) and B at (0.0000, 0.5000, 0.0000).

Its magnetic moment is 0.000 μB per atom. The value obtained for the formation energy is -0.127 eV per atom. As for the electronic total energy: -315.85 eV/cell.


Entry 5:
First-principles (PBE-GGA) data for PmMoP2 after structural relaxation, as listed in Alexandria.

The structure belongs to space group P4/mmm (No. 123); the cell edges are 4.666, 4.666 and 3.271 Å and the angles 90.00°, 90.00° and 90.00°. The inequivalent atoms are Pm at (0.000, 0.000, 0.000), Mo at (0.500, 0.500, 0.000) and P at (0.000, 0.500, 0.500).

Its magnetic moment is 0.005 μB per atom. The value obtained for the formation energy is -0.262 eV per atom. As for the electronic total energy: -27.45 eV/cell.